LiLa8Tc2: relaxed, PBE.

Computed properties:
- DOS at the Fermi energy: 13.1 states/eV/cell
- Energy: -5.589 eV per atom
- Space-group type: Cm

a b c (Å): 6.0043 8.2012 8.2012
angles (deg): 115.89 98.15 98.15
Last column: nearest neighbours and their distance in Å.
Element x y z (fractional)
Li  0.9901  0.0162  0.0162  4 La 3.29-3.42
La  0.5603  0.3340  0.0760  1 Tc 2.65
La  0.5603  0.0760  0.3340  1 Tc 2.65
La  0.2189  0.4042  0.4042  1 Li 3.29, 6 La 3.44-3.67, 2 Tc 3.53
La  0.9827  0.1977  0.7215  1 Tc 3.03, 1 Li 3.34
La  0.9827  0.7215  0.1977  1 Tc 3.03, 1 Li 3.34
La  0.8014  0.6088  0.6088  2 Tc 3.18, 1 Li 3.42, 2 La 3.44-3.48
La  0.3982  0.9144  0.6470  1 Tc 2.57
La  0.3982  0.6470  0.9144  1 Tc 2.57
Tc  0.5534  0.7614  0.3529  2 La 2.57-2.65
Tc  0.5534  0.3529  0.7614  2 La 2.57-2.65